# 1
DFT (PBE) results for a relaxed structure of AlTlRe2C.

Properties
The density of states at the Fermi level is 4.8 states/eV/cell. Its space-group type is P4/mmm. For the magnetization, the calculation gives 5.9 μB per formula unit.

Cell: 5.2942 4.9328 5.2942 Å, 90.00 90.00 90.00°
With the nearest neighbours (Å) after each atom.
Element x y z (fractional)
Tl (0.0000, 0.0000, 0.0000)  2 Al 2.47, 4 Re 2.65
Al (0.0000, 0.5000, 0.0000)  2 Tl 2.47
C (0.5000, 0.5000, 0.5000)  8 Re 3.62, 4 Al 3.74
Re (0.5000, 0.0000, 0.0000)  2 Tl 2.65
Re (0.0000, 0.0000, 0.5000)  2 Tl 2.65

# 2
DFT (PBE) results for a relaxed structure of AlRhC3.

Properties
The density of states at the Fermi level is 3.0 states/eV/cell. Its space-group type is Pm-3m. The excess energy over the best structure of this formula in the dataset comes out at 17.2 kJ/mol of atoms. For the magnetization, the calculation gives 0.0 μB per formula unit.

Cell: 3.8591 3.8591 3.8591 Å, 90.00 90.00 90.00°
With the nearest neighbours (Å) after each atom.
Element x y z (fractional)
C (0.0000, 0.5000, 0.0000)  2 Al 1.93
C (0.5000, 0.0000, 0.0000)  2 Al 1.93
C (0.0000, 0.0000, 0.5000)  2 Al 1.93
Al (0.0000, 0.0000, 0.0000)  6 C 1.93
Rh (0.5000, 0.5000, 0.5000)  12 C 2.73

# 3
DFT (PBE) results for a relaxed structure of AlRhC2.

Properties
The density of states at the Fermi level is 3.2 states/eV/cell. Its space-group type is I-42d. For the magnetization, the calculation gives 0.0 μB per formula unit.

Cell: 4.5774 4.5774 5.7375 Å, 66.49 66.49 90.00°
With the nearest neighbours (Å) after each atom.
Element x y z (fractional)
C (0.1130, 0.6250, 0.2500)  2 Rh 1.97, 2 Al 2.04
C (0.3750, 0.3630, 0.7500)  2 Rh 1.97, 2 Al 2.04
C (0.8750, 0.8870, 0.7500)  2 Rh 1.97, 2 Al 2.04
C (0.6370, 0.1250, 0.2500)  2 Rh 1.97, 2 Al 2.04
Al (0.5000, 0.5000, 0.0000)  4 C 2.04
Al (0.2500, 0.7500, 0.5000)  4 C 2.04
Rh (0.0000, 0.0000, 0.0000)  4 C 1.97
Rh (0.7500, 0.2500, 0.5000)  4 C 1.97

# 4
DFT (PBE) results for a relaxed structure of AlRhC3.

Properties
The density of states at the Fermi level is 1.9 states/eV/cell. Its space-group type is Pm-3m. The excess energy over the best structure of this formula in the dataset comes out at 0.0 kJ/mol of atoms. For the magnetization, the calculation gives 0.0 μB per formula unit.

Cell: 3.9908 3.9908 3.9908 Å, 90.00 90.00 90.00°
With the nearest neighbours (Å) after each atom.
Element x y z (fractional)
Rh (0.0000, 0.0000, 0.0000)  6 C 2.00
C (0.0000, 0.0000, 0.5000)  2 Rh 2.00
C (0.5000, 0.0000, 0.0000)  2 Rh 2.00
C (0.0000, 0.5000, 0.0000)  2 Rh 2.00
Al (0.5000, 0.5000, 0.5000)  12 C 2.82

| no. | calculated volume (Å³ per atom) | DFT formation energy (eV/atom) |
| --- | --- | --- |
| 1 | 27.7 | 3.84 |
| 2 | 11.5 | 2.36 |
| 3 | 12.4 | 0.60 |
| 4 | 12.7 | 2.19 |